# HoTlO3

A relaxed HoTlO3 crystal (PBE, OQMD via LeMat-Bulk).

Cell and atoms, written as extended XYZ:
```
20
Lattice="5.750 0.000 0.000 0.000 5.848 0.000 0.000 0.000 8.408" Properties=species:S:1:pos:R:3 pbc="T T T"
O 5.008 3.497 6.306
O 3.857 1.901 3.598
O 0.741 2.351 2.102
O 2.134 5.275 2.102
O 4.768 4.825 3.598
O 1.893 3.947 4.810
O 0.982 1.023 4.810
O 0.982 1.023 7.802
O 1.893 3.947 7.802
O 4.768 4.825 0.606
O 3.857 1.901 0.606
O 3.616 0.573 6.306
Ho 2.875 0.000 4.204
Ho 2.875 0.000 0.000
Ho 0.000 2.924 0.000
Ho 0.000 2.924 4.204
Tl 2.931 3.190 2.102
Tl 2.819 2.658 6.306
Tl 0.056 5.582 6.306
Tl 5.694 0.266 2.102
```

Total magnetization ... 0.01 μB/cell
Energy ... -6.412 eV/atom
Calculated volume ... 14.1 A^3/atom



# HoTlO3

A relaxed HoTlO3 crystal (PBE, OQMD via LeMat-Bulk).

Cell and atoms, written as extended XYZ:
```
5
Lattice="4.135 0.000 0.000 0.000 4.135 0.000 0.000 0.000 4.698" Properties=species:S:1:pos:R:3 pbc="T T T"
Ho 2.068 2.068 2.524
O 2.068 2.068 0.372
O 2.068 0.000 3.191
O 0.000 2.068 3.191
Tl 0.000 0.000 4.347
```

Total magnetization ... 0.02 μB/cell
Energy ... -6.033 eV/atom
Calculated volume ... 16.1 A^3/atom



# HoTlO3

A relaxed HoTlO3 crystal (PBE, OQMD via LeMat-Bulk).

Cell and atoms, written as extended XYZ:
```
10
Lattice="2.976 -1.718 -4.635 -2.976 -1.718 -4.635 0.000 3.436 -4.635" Properties=species:S:1:pos:R:3 pbc="T T T"
O 1.903 0.140 -8.110
O -1.903 -0.140 -5.793
O 1.073 -1.578 -5.793
O -0.830 -1.718 -8.110
O -1.073 1.578 -8.110
O 0.830 1.718 -5.793
Ho 0.000 0.000 -10.428
Ho 0.000 0.000 -3.476
Tl 0.000 0.000 0.000
Tl 0.000 0.000 -6.952
```

Total magnetization ... 0.00 μB/cell
Energy ... -6.234 eV/atom
Calculated volume ... 14.2 A^3/atom



# HoTlO3

A relaxed HoTlO3 crystal (PBE, OQMD via LeMat-Bulk).

Cell and atoms, written as extended XYZ:
```
10
Lattice="2.921 -1.686 -4.965 -2.921 -1.686 -4.965 0.000 3.373 -4.965" Properties=species:S:1:pos:R:3 pbc="T T T"
O 1.859 0.152 -8.689
O 0.798 1.686 -6.206
O -1.061 1.534 -8.689
O -0.798 -1.686 -8.689
O -1.859 -0.152 -6.206
O 1.061 -1.534 -6.206
Ho 0.000 0.000 -7.447
Ho 0.000 0.000 0.000
Tl 0.000 0.000 -3.724
Tl 0.000 0.000 -11.171
```

Total magnetization ... 0.00 μB/cell
Energy ... -6.408 eV/atom
Calculated volume ... 14.7 A^3/atom



# Ho2Tl2O5

A relaxed Ho2Tl2O5 crystal (PBE, OQMD via LeMat-Bulk).

Cell and atoms, written as extended XYZ:
```
9
Lattice="8.450 0.000 0.000 0.000 4.142 0.000 0.000 0.000 4.142" Properties=species:S:1:pos:R:3 pbc="T T T"
O 7.058 2.071 0.000
O 4.225 2.071 2.071
O 7.058 0.000 2.071
O 1.392 2.071 0.000
O 1.392 0.000 2.071
Tl 4.225 0.000 0.000
Tl 0.000 0.000 0.000
Ho 2.083 2.071 2.071
Ho 6.367 2.071 2.071
```

Total magnetization ... 0.01 μB/cell
Energy ... -6.385 eV/atom
Calculated volume ... 16.1 A^3/atom



# Ho2Tl2O5

A relaxed Ho2Tl2O5 crystal (PBE, OQMD via LeMat-Bulk).

Cell and atoms, written as extended XYZ:
```
9
Lattice="-0.207 -6.855 1.537 4.301 -0.169 -0.172 0.205 0.936 4.200" Properties=species:S:1:pos:R:3 pbc="T T T"
O 1.995 -5.246 1.071
O 2.150 -3.044 2.783
O -0.054 -4.694 3.258
O 0.051 -1.225 2.480
O 2.100 -1.777 0.293
Tl 2.213 -0.937 2.310
Tl 2.086 -5.151 3.255
Ho 0.000 0.000 0.000
Ho -0.104 -3.427 0.769
```

Total magnetization ... 0.00 μB/cell
Energy ... -5.572 eV/atom
Calculated volume ... 14.5 A^3/atom



# HoTlO3

A relaxed HoTlO3 crystal (PBE, OQMD via LeMat-Bulk).

Cell and atoms, written as extended XYZ:
```
10
Lattice="-3.906 -1.819 -3.865 -5.649 0.329 1.220 -3.347 4.060 -2.863" Properties=species:S:1:pos:R:3 pbc="T T T"
O -7.658 -0.520 -3.762
O -5.691 1.663 -4.993
O -4.365 0.131 -2.534
O -8.537 2.439 -2.974
O -7.211 0.907 -0.515
O -5.244 3.090 -1.746
Tl -6.518 3.176 -3.576
Tl -6.384 -0.607 -1.932
Ho -9.624 0.453 -3.490
Ho -3.278 2.116 -2.018
```

Total magnetization ... 0.00 μB/cell
Energy ... -6.448 eV/atom
Calculated volume ... 14.4 A^3/atom



# HoTlO3

A relaxed HoTlO3 crystal (PBE, OQMD via LeMat-Bulk).

Cell and atoms, written as extended XYZ:
```
20
Lattice="-4.121 -1.562 3.346 0.021 -5.351 -2.473 5.705 -2.652 5.788" Properties=species:S:1:pos:R:3 pbc="T T T"
O 0.072 -6.054 0.311
O 2.586 -2.853 3.568
O -0.476 -3.842 3.910
O 1.532 -3.512 6.350
O -2.324 -2.982 2.035
O 0.857 -6.447 5.670
O -2.830 -5.854 1.218
O 4.435 -3.712 5.443
O 3.929 -6.584 4.626
O 2.080 -5.724 2.750
O -0.982 -6.713 3.093
O 0.747 -3.119 0.991
Tl 2.863 -4.002 1.657
Tl 0.010 -2.676 -1.236
Tl 0.792 -2.107 4.567
Tl -2.061 -0.781 1.673
Ho 4.186 -7.017 2.128
Ho -2.581 -2.549 4.533
Ho -0.735 -4.528 1.806
Ho 2.339 -5.038 4.855
```

Total magnetization ... 0.01 μB/cell
Energy ... -6.389 eV/atom
Calculated volume ... 13.9 A^3/atom



# HoTm2O4

A relaxed HoTm2O4 crystal (PBE, OQMD via LeMat-Bulk).

Cell and atoms, written as extended XYZ:
```
14
Lattice="-2.193 4.958 3.868 -1.515 -0.083 -6.484 -2.764 -4.441 4.122" Properties=species:S:1:pos:R:3 pbc="T T T"
Tm -3.686 -0.979 -0.837
Tm -2.929 -0.937 2.405
Tm -2.304 1.242 -2.897
Tm -4.025 1.542 4.339
O -4.036 -0.724 4.371
O -3.096 -3.196 2.340
O -3.794 -3.234 -0.649
O -3.579 1.277 -1.024
O -1.822 -1.150 0.440
O -2.762 1.322 2.471
O -2.568 -1.007 -2.807
O -4.805 -0.950 1.134
Ho 0.000 0.000 0.000
Ho -3.093 2.566 0.689
```

Total magnetization ... 0.29 μB/cell
Energy ... -8.056 eV/atom
Calculated volume ... 14.9 A^3/atom



# HoTm2O3

A relaxed HoTm2O3 crystal (PBE, OQMD via LeMat-Bulk).

Cell and atoms, written as extended XYZ:
```
6
Lattice="3.340 0.000 0.000 -1.670 2.892 0.000 0.000 0.000 8.210" Properties=species:S:1:pos:R:3 pbc="T T T"
O 1.670 0.964 2.643
O 0.000 1.928 5.568
O 0.000 0.000 0.000
Tm 1.670 0.964 6.844
Tm 0.000 1.928 1.366
Ho 0.000 0.000 4.105
```

Total magnetization ... 0.02 μB/cell
Energy ... -7.519 eV/atom
Calculated volume ... 13.2 A^3/atom



# HoTmO2

A relaxed HoTmO2 crystal (PBE, OQMD via LeMat-Bulk).

Cell and atoms, written as extended XYZ:
```
4
Lattice="-2.211 -2.485 -0.426 1.873 -1.998 1.936 -2.384 1.466 3.819" Properties=species:S:1:pos:R:3 pbc="T T T"
O 0.000 0.000 0.000
O -1.361 -1.508 2.664
Tm -0.169 -2.241 0.755
Ho -1.192 0.733 1.909
```

Total magnetization ... 0.00 μB/cell
Energy ... -7.522 eV/atom
Calculated volume ... 13.3 A^3/atom



# Y2HoO4

A relaxed Y2HoO4 crystal (PBE, OQMD via LeMat-Bulk).

Cell and atoms, written as extended XYZ:
```
14
Lattice="4.768 -4.769 0.000 -4.768 0.000 -4.769 4.768 4.769 0.000" Properties=species:S:1:pos:R:3 pbc="T T T"
O -1.130 1.129 -3.640
O 5.898 1.129 -1.129
O 1.130 -1.129 -3.640
O 1.254 3.514 -3.514
O 3.514 3.514 -1.255
O 3.514 1.255 -3.514
O 1.254 1.255 -1.255
O 3.638 -1.129 -1.129
Ho 2.384 -2.385 -2.385
Ho 0.000 0.000 0.000
Y -1.192 -1.192 -3.577
Y 3.576 1.192 -1.192
Y 5.960 -1.192 -1.192
Y 1.192 1.192 -3.577
```

Total magnetization ... 0.74 μB/cell
Energy ... -8.549 eV/atom
Calculated volume ... 15.5 A^3/atom



# YHoO2

A relaxed YHoO2 crystal (PBE, OQMD via LeMat-Bulk).

Cell and atoms, written as extended XYZ:
```
4
Lattice="-1.255 3.134 -0.248 -0.950 -0.123 3.247 4.237 1.800 1.308" Properties=species:S:1:pos:R:3 pbc="T T T"
Y -1.102 1.505 1.499
O 1.017 2.405 2.153
O 0.000 0.000 0.000
Ho 2.119 0.900 0.654
```

Total magnetization ... 0.00 μB/cell
Energy ... -8.010 eV/atom
Calculated volume ... 13.7 A^3/atom



# Y2Ho2O5

A relaxed Y2Ho2O5 crystal (PBE, OQMD via LeMat-Bulk).

Cell and atoms, written as extended XYZ:
```
9
Lattice="9.569 0.000 0.000 0.000 3.866 0.000 0.000 0.000 3.866" Properties=species:S:1:pos:R:3 pbc="T T T"
O 1.360 0.000 1.933
O 8.209 0.000 1.933
O 8.209 1.933 0.000
O 4.785 1.933 1.933
O 1.360 1.933 0.000
Ho 4.785 0.000 0.000
Ho 0.000 0.000 0.000
Y 2.305 1.933 1.933
Y 7.264 1.933 1.933
```

Total magnetization ... 1.29 μB/cell
Energy ... -8.063 eV/atom
Calculated volume ... 15.9 A^3/atom



# Y2Ho2O5

A relaxed Y2Ho2O5 crystal (PBE, OQMD via LeMat-Bulk).

Cell and atoms, written as extended XYZ:
```
9
Lattice="-6.208 2.101 -6.984 -0.598 -3.756 -0.598 -2.870 0.049 2.566" Properties=species:S:1:pos:R:3 pbc="T T T"
O -4.838 -0.803 -2.508
O -5.613 -0.079 -6.277
O -6.749 1.823 -4.695
O -1.193 -1.575 -1.304
O -2.329 0.327 0.278
Y 0.000 0.000 0.000
Y -3.104 1.050 -3.492
Ho -6.444 -0.260 -4.314
Ho -3.232 -1.347 -0.701
```

Total magnetization ... 1.55 μB/cell
Energy ... -8.102 eV/atom
Calculated volume ... 15.8 A^3/atom



# YHo2O3

A relaxed YHo2O3 crystal (PBE, OQMD via LeMat-Bulk).

Cell and atoms, written as extended XYZ:
```
6
Lattice="3.381 0.000 0.000 -1.691 2.928 0.000 0.000 0.000 8.268" Properties=species:S:1:pos:R:3 pbc="T T T"
O 0.000 0.000 4.134
O 0.000 1.952 1.440
O 1.691 0.976 6.827
Y 0.000 0.000 0.000
Ho 1.691 0.976 2.761
Ho 0.000 1.952 5.507
```

Total magnetization ... 0.00 μB/cell
Energy ... -7.860 eV/atom
Calculated volume ... 13.6 A^3/atom



# HoZn2O4

A relaxed HoZn2O4 crystal (PBE, OQMD via LeMat-Bulk).

Cell and atoms, written as extended XYZ:
```
14
Lattice="-1.506 5.925 -1.299 -2.399 -4.654 -3.413 -1.861 0.822 5.909" Properties=species:S:1:pos:R:3 pbc="T T T"
O -2.180 2.903 0.736
O -4.221 0.810 1.863
O -1.643 -0.127 1.327
O -2.833 -2.319 -0.570
O -3.547 -1.840 2.443
O -3.013 3.272 3.379
O -3.507 0.331 -1.150
O -2.476 0.242 3.970
Ho -2.794 2.322 -1.203
Ho 0.000 0.000 0.000
Zn -3.081 4.535 1.703
Zn -2.596 -1.166 -2.308
Zn -3.527 -0.755 0.647
Zn -2.328 1.572 2.353
```

Total magnetization ... 2.00 μB/cell
Energy ... -5.686 eV/atom
Calculated volume ... 12.3 A^3/atom



# Ho2Zn2O5

A relaxed Ho2Zn2O5 crystal (PBE, OQMD via LeMat-Bulk).

Cell and atoms, written as extended XYZ:
```
9
Lattice="-3.878 3.494 4.661 -1.160 -3.367 1.559 3.021 0.092 2.445" Properties=species:S:1:pos:R:3 pbc="T T T"
Ho 0.000 0.000 0.000
Ho -1.939 1.747 2.331
O 0.726 0.753 2.166
O -3.673 1.104 4.498
O -1.582 2.833 4.941
O -1.365 -0.977 1.723
O -1.008 0.109 4.333
Zn -2.078 1.073 5.619
Zn 0.062 -0.855 3.047
```

Total magnetization ... 0.00 μB/cell
Energy ... -6.225 eV/atom
Calculated volume ... 11.8 A^3/atom



# Ho2Zn2O5

A relaxed Ho2Zn2O5 crystal (PBE, OQMD via LeMat-Bulk).

Cell and atoms, written as extended XYZ:
```
9
Lattice="-1.714 7.655 -3.513 -3.850 -0.706 0.339 0.013 1.641 3.570" Properties=species:S:1:pos:R:3 pbc="T T T"
Ho -2.336 2.334 1.098
Ho -3.214 6.255 -0.702
O -2.178 0.775 -0.349
O -0.246 1.949 1.267
O -1.455 7.347 -1.210
O -3.386 6.173 -2.826
O -2.775 4.295 0.198
Zn 0.000 0.000 0.000
Zn -0.857 3.827 -1.756
```

Total magnetization ... 0.06 μB/cell
Energy ... -5.908 eV/atom
Calculated volume ... 14.7 A^3/atom



# Ho2Zr2O5

A relaxed Ho2Zr2O5 crystal (PBE, OQMD via LeMat-Bulk).

Cell and atoms, written as extended XYZ:
```
9
Lattice="-7.067 2.630 -4.473 -2.045 -0.073 3.188 0.919 3.613 0.673" Properties=species:S:1:pos:R:3 pbc="T T T"
O -1.998 0.326 0.977
O -4.097 3.085 -0.306
O -0.516 2.169 -0.281
O -5.633 4.074 -3.520
O -7.115 2.231 -2.262
Zr -3.534 1.315 -2.237
Zr 0.000 0.000 0.000
Ho -2.367 2.441 0.789
Ho -5.827 3.729 -1.402
```

Total magnetization ... 2.64 μB/cell
Energy ... -8.229 eV/atom
Calculated volume ... 14.0 A^3/atom